No. 1
{
  "formula": "CsZrMn3",
  "functional": "PBE-GGA",
  "state": "optimized geometry",
  "delta_e_f_ev_per_atom": 2.24,
  "density_g_cm3": 5.53,
  "vol_a3_per_atom": 23.3,
  "sg": "No. 221",
  "cell": [[4.887, 0.000, 0.000], [0.000, 4.887, 0.000], [0.000, 0.000, 4.887]],
  "species": ["Cs", "Zr", "Mn", "Mn", "Mn"],
  "fractional_positions": [[0.000, 0.000, 0.000], [0.500, 0.500, 0.500], [0.000, 0.000, 0.500], [0.000, 0.500, 0.000], [0.500, 0.000, 0.000]]
}

No. 2
{
  "formula": "CsZr2Mn",
  "functional": "PBE-GGA",
  "state": "optimized geometry",
  "delta_e_f_ev_per_atom": 1.21,
  "density_g_cm3": 6.65,
  "vol_a3_per_atom": 23.1,
  "sg": "No. 225",
  "cell": [[7.178, 0.000, 0.000], [0.000, 7.178, 0.000], [0.000, 0.000, 7.178]],
  "species": ["Cs", "Cs", "Cs", "Cs", "Zr", "Zr", "Zr", "Zr", "Zr", "Zr", "Zr", "Zr", "Mn", "Mn", "Mn", "Mn"],
  "fractional_positions": [[0.000, 0.000, 0.000], [0.000, 0.500, 0.500], [0.500, 0.000, 0.500], [0.500, 0.500, 0.000], [0.250, 0.250, 0.250], [0.250, 0.250, 0.750], [0.250, 0.750, 0.250], [0.250, 0.750, 0.750], [0.750, 0.250, 0.250], [0.750, 0.250, 0.750], [0.750, 0.750, 0.250], [0.750, 0.750, 0.750], [0.000, 0.000, 0.500], [0.000, 0.500, 0.000], [0.500, 0.000, 0.000], [0.500, 0.500, 0.500]]
}

No. 3
{
  "formula": "Cs2ZrMn",
  "functional": "PBE-GGA",
  "state": "optimized geometry",
  "delta_e_f_ev_per_atom": 1.58,
  "density_g_cm3": 3.87,
  "vol_a3_per_atom": 44.2,
  "sg": "No. 225",
  "cell": [[8.907, 0.000, 0.000], [0.000, 8.907, 0.000], [0.000, 0.000, 8.907]],
  "species": ["Cs", "Cs", "Cs", "Cs", "Cs", "Cs", "Cs", "Cs", "Zr", "Zr", "Zr", "Zr", "Mn", "Mn", "Mn", "Mn"],
  "fractional_positions": [[0.250, 0.250, 0.250], [0.250, 0.250, 0.750], [0.250, 0.750, 0.250], [0.250, 0.750, 0.750], [0.750, 0.250, 0.250], [0.750, 0.250, 0.750], [0.750, 0.750, 0.250], [0.750, 0.750, 0.750], [0.000, 0.000, 0.000], [0.000, 0.500, 0.500], [0.500, 0.000, 0.500], [0.500, 0.500, 0.000], [0.000, 0.000, 0.500], [0.000, 0.500, 0.000], [0.500, 0.000, 0.000], [0.500, 0.500, 0.500]]
}

No. 4
{
  "formula": "CsZr3Mn",
  "functional": "PBE-GGA",
  "state": "optimized geometry",
  "delta_e_f_ev_per_atom": 0.80,
  "density_g_cm3": 5.82,
  "polymorph_energy_ev_per_fu": 0.00,
  "vol_a3_per_atom": 26.4,
  "sg": "No. 221",
  "cell": [[5.089, 0.000, 0.000], [0.000, 5.089, 0.000], [0.000, 0.000, 5.089]],
  "species": ["Cs", "Zr", "Zr", "Zr", "Mn"],
  "fractional_positions": [[0.000, 0.000, 0.000], [0.000, 0.500, 0.500], [0.500, 0.000, 0.500], [0.500, 0.500, 0.000], [0.500, 0.500, 0.500]]
}

No. 5
{
  "formula": "CsZr3Mn",
  "functional": "PBE-GGA",
  "state": "optimized geometry",
  "delta_e_f_ev_per_atom": 2.59,
  "density_g_cm3": 5.43,
  "polymorph_energy_ev_per_fu": 8.97,
  "vol_a3_per_atom": 28.2,
  "sg": "No. 221",
  "cell": [[5.206, 0.000, 0.000], [0.000, 5.206, 0.000], [0.000, 0.000, 5.206]],
  "species": ["Cs", "Zr", "Zr", "Zr", "Mn"],
  "fractional_positions": [[0.000, 0.000, 0.000], [0.000, 0.000, 0.500], [0.000, 0.500, 0.000], [0.500, 0.000, 0.000], [0.500, 0.500, 0.500]]
}

No. 6
{
  "formula": "Cs3ZrMn",
  "functional": "PBE-GGA",
  "state": "optimized geometry",
  "delta_e_f_ev_per_atom": 1.50,
  "density_g_cm3": 2.76,
  "polymorph_energy_ev_per_fu": 0.00,
  "vol_a3_per_atom": 65.7,
  "sg": "No. 221",
  "cell": [[6.898, 0.000, 0.000], [0.000, 6.898, 0.000], [0.000, 0.000, 6.898]],
  "species": ["Cs", "Cs", "Cs", "Zr", "Mn"],
  "fractional_positions": [[0.000, 0.000, 0.500], [0.000, 0.500, 0.000], [0.500, 0.000, 0.000], [0.500, 0.500, 0.500], [0.000, 0.000, 0.000]]
}

No. 7
{
  "formula": "CsMo",
  "functional": "PBE-GGA",
  "state": "optimized geometry",
  "delta_e_f_ev_per_atom": 1.01,
  "density_g_cm3": 3.67,
  "polymorph_energy_ev_per_fu": 0.00,
  "vol_a3_per_atom": 51.8,
  "sg": "No. 19",
  "cell": [[4.667, 0.000, 0.000], [0.000, 10.316, 0.000], [0.000, 0.000, 17.204]],
  "species": ["Cs", "Cs", "Cs", "Cs", "Cs", "Cs", "Cs", "Cs", "Mo", "Mo", "Mo", "Mo", "Mo", "Mo", "Mo", "Mo"],
  "fractional_positions": [[0.247, 0.063, 0.452], [0.249, 0.471, 0.283], [0.251, 0.529, 0.783], [0.253, 0.937, 0.952], [0.747, 0.437, 0.548], [0.749, 0.029, 0.717], [0.751, 0.971, 0.217], [0.753, 0.563, 0.048], [0.245, 0.701, 0.464], [0.245, 0.762, 0.591], [0.255, 0.238, 0.091], [0.255, 0.299, 0.964], [0.745, 0.738, 0.409], [0.745, 0.799, 0.536], [0.755, 0.201, 0.036], [0.755, 0.262, 0.909]]
}

No. 8
{
  "formula": "CsMo",
  "functional": "PBE-GGA",
  "state": "optimized geometry",
  "delta_e_f_ev_per_atom": 1.03,
  "density_g_cm3": 4.72,
  "polymorph_energy_ev_per_fu": 0.05,
  "vol_a3_per_atom": 40.2,
  "sg": "No. 83",
  "cell": [[13.832, 0.000, 0.000], [0.000, 13.832, 0.000], [0.000, 0.000, 3.364]],
  "species": ["Cs", "Cs", "Cs", "Cs", "Cs", "Cs", "Cs", "Cs", "Mo", "Mo", "Mo", "Mo", "Mo", "Mo", "Mo", "Mo"],
  "fractional_positions": [[0.099, 0.797, 0.000], [0.203, 0.099, 0.000], [0.321, 0.376, 0.500], [0.376, 0.679, 0.500], [0.624, 0.321, 0.500], [0.679, 0.624, 0.500], [0.797, 0.901, 0.000], [0.901, 0.203, 0.000], [0.058, 0.412, 0.000], [0.098, 0.532, 0.500], [0.412, 0.942, 0.000], [0.468, 0.098, 0.500], [0.532, 0.902, 0.500], [0.588, 0.058, 0.000], [0.902, 0.468, 0.500], [0.942, 0.588, 0.000]]
}

No. 9
{
  "formula": "CsMo",
  "functional": "PBE-GGA",
  "state": "optimized geometry",
  "delta_e_f_ev_per_atom": 3.45,
  "density_g_cm3": 6.11,
  "polymorph_energy_ev_per_fu": 4.88,
  "vol_a3_per_atom": 31.1,
  "sg": "No. 216",
  "cell": [[6.291, 0.000, 0.000], [0.000, 6.291, 0.000], [0.000, 0.000, 6.291]],
  "species": ["Cs", "Cs", "Cs", "Cs", "Mo", "Mo", "Mo", "Mo"],
  "fractional_positions": [[0.000, 0.000, 0.000], [0.000, 0.500, 0.500], [0.500, 0.000, 0.500], [0.500, 0.500, 0.000], [0.250, 0.250, 0.250], [0.250, 0.750, 0.750], [0.750, 0.250, 0.750], [0.750, 0.750, 0.250]]
}

No. 10
{
  "formula": "CsMo",
  "functional": "PBE-GGA",
  "state": "optimized geometry",
  "delta_e_f_ev_per_atom": 1.27,
  "density_g_cm3": 5.14,
  "polymorph_energy_ev_per_fu": 0.52,
  "vol_a3_per_atom": 37.0,
  "sg": "No. 74",
  "cell": [[3.437, 0.000, 0.000], [0.000, 6.646, 0.000], [0.000, 0.000, 12.951]],
  "species": ["Cs", "Cs", "Cs", "Cs", "Mo", "Mo", "Mo", "Mo"],
  "fractional_positions": [[0.000, 0.250, 0.102], [0.000, 0.750, 0.898], [0.500, 0.250, 0.398], [0.500, 0.750, 0.602], [0.000, 0.250, 0.690], [0.000, 0.750, 0.310], [0.500, 0.250, 0.810], [0.500, 0.750, 0.190]]
}

No. 11
{
  "formula": "CsMo",
  "functional": "PBE-GGA",
  "state": "optimized geometry",
  "delta_e_f_ev_per_atom": 1.27,
  "density_g_cm3": 4.89,
  "polymorph_energy_ev_per_fu": 0.52,
  "vol_a3_per_atom": 38.9,
  "sg": "No. 2",
  "cell": [[3.387, 0.000, 0.000], [-0.863, 6.993, 0.000], [-0.812, -2.428, 6.568]],
  "species": ["Cs", "Cs", "Mo", "Mo"],
  "fractional_positions": [[0.006, 0.186, 0.314], [0.994, 0.814, 0.686], [0.311, 0.601, 0.099], [0.689, 0.399, 0.901]]
}

No. 12
{
  "formula": "CsMo",
  "functional": "PBE-GGA",
  "state": "optimized geometry",
  "delta_e_f_ev_per_atom": 1.45,
  "density_g_cm3": 2.45,
  "polymorph_energy_ev_per_fu": 0.89,
  "vol_a3_per_atom": 77.5,
  "sg": "No. 217",
  "cell": [[10.745, 0.000, 0.000], [0.000, 10.745, 0.000], [0.000, 0.000, 10.745]],
  "species": ["Cs", "Cs", "Cs", "Cs", "Cs", "Cs", "Cs", "Cs", "Mo", "Mo", "Mo", "Mo", "Mo", "Mo", "Mo", "Mo"],
  "fractional_positions": [[0.225, 0.225, 0.775], [0.225, 0.775, 0.225], [0.275, 0.275, 0.275], [0.275, 0.725, 0.725], [0.725, 0.275, 0.725], [0.725, 0.725, 0.275], [0.775, 0.225, 0.225], [0.775, 0.775, 0.775], [0.079, 0.079, 0.079], [0.079, 0.921, 0.921], [0.421, 0.421, 0.579], [0.421, 0.579, 0.421], [0.579, 0.421, 0.421], [0.579, 0.579, 0.579], [0.921, 0.079, 0.921], [0.921, 0.921, 0.079]]
}